(1)
10
Lattice="-4.1119 -3.2445 5.3624 0.8117 -6.6351 -3.3922 3.3248 -0.6848 2.1351" Properties=species:S:1:pos:R:3 comment="LiTl2Zn2 (PBE-GGA, optimized geometry)" e_form_kj_per_mol_fu=17 pbc="T T T"
Tl 1.4697 -5.4520 -0.2712
Tl -0.4749 -7.9848 1.9446
Tl -1.4451 -5.1125 4.3765
Tl 0.4995 -2.5797 2.1608
Zn -0.8383 -7.0422 -0.9533
Zn -3.1005 -6.9792 2.5895
Zn -2.4619 -2.8375 2.9236
Zn -0.1998 -2.9005 -0.6193
Li 0.0000 0.0000 0.0000
Li -1.6501 -4.9398 0.9851

***

(2)
4
Lattice="3.6571 0.0000 0.0000 0.0000 3.6569 0.0000 0.0000 0.0000 7.9409" Properties=species:S:1:pos:R:3 comment="NiSe2Br (PBE-GGA, optimized geometry)" e_form_raw_mev_per_atom=315 pbc="T T T"
Br 1.8286 0.0000 3.9705
Ni 0.0000 1.8284 3.9705
Se 0.0000 0.0000 0.0000
Se 1.8286 1.8284 0.0000

***

(3)
4
Lattice="-2.5952 -1.8506 0.8843 0.8162 -2.2402 -2.2928 4.8399 -4.0657 5.6955" Properties=species:S:1:pos:R:3 comment="YW (PBE-GGA, optimized geometry)" e_form_kj_per_mol_fu=48 pbc="T T T"
W -0.0712 -1.3365 0.0875
W 3.1321 -6.8200 4.1995
Y 2.8598 -3.7987 3.5366
Y 0.2011 -4.3578 0.7504

***

(4)
12
Lattice="5.0319 0.0000 1.5750 2.2695 4.4911 1.5750 0.0041 0.0025 8.8127" Properties=species:S:1:pos:R:3 comment="Y3Al2Cu7 (PBE-GGA, optimized geometry)" e_form_kj_per_mol_fu=-320 pbc="T T T"
Y 0.0000 0.0000 0.0000
Y 6.2808 3.8633 6.4108
Y 1.0248 0.6303 5.5518
Al 4.8726 2.9971 10.9098
Al 2.4329 1.4965 1.0528
Cu 3.6528 2.2468 5.9813
Cu 5.5765 1.8755 4.2681
Cu 4.1890 4.1312 4.2681
Cu 3.0492 1.8755 3.4771
Cu 1.7291 2.6181 7.6945
Cu 4.2564 2.6181 8.4855
Cu 3.1166 0.3625 7.6945

***

(5)
8
Lattice="3.6637 0.0000 0.0000 0.0000 4.5702 0.0000 0.0000 0.0000 11.6545" Properties=species:S:1:pos:R:3 comment="Dy4Al3Ag (PBE-GGA, optimized geometry)" e_form_kj_per_mol_fu=-267 pbc="T T T"
Dy 1.8318 2.2851 4.0198
Dy 0.0000 2.2851 9.8737
Dy 0.0000 0.0000 1.7730
Dy 1.8318 0.0000 7.6593
Al 0.0000 2.2851 6.6146
Al 0.0000 0.0000 5.0394
Al 1.8318 0.0000 10.8307
Ag 1.8318 2.2851 0.8075

***

(6)
6
Lattice="0.0000 3.9606 3.9606 3.9606 0.0000 3.9606 3.9606 3.9606 0.0000" Properties=species:S:1:pos:R:3 comment="CoTeP4 (PBE-GGA, optimized geometry)" e_form_raw_mev_per_atom=879 pbc="T T T"
Co 0.0000 0.0000 0.0000
Te 5.9409 5.9409 5.9409
P 2.7738 5.1473 5.1473
P 5.1473 5.1473 2.7738
P 5.1473 2.7738 5.1473
P 2.7738 2.7738 2.7738

***

(7)
7
Lattice="-2.8638 -2.3093 4.4161 0.5106 -5.6108 1.1376 6.5019 -0.8267 7.5247" Properties=species:S:1:pos:R:3 comment="Sr4Tl2In (PBE-GGA, optimized geometry)" e_form_kj_per_mol_fu=-228 pbc="T T T"
Sr 0.3760 -7.2408 7.6787
Sr 3.7727 -1.5059 5.3995
Sr -0.6411 -5.0492 4.4248
Sr 4.7897 -3.6976 8.6535
Tl 3.1380 -6.5534 9.8294
Tl 1.0106 -2.1933 3.2489
In 0.0000 0.0000 0.0000

***

(8)
4
Lattice="5.7224 0.0114 0.0000 -3.0880 4.8177 0.0000 0.0000 0.0000 2.7085" Properties=species:S:1:pos:R:3 comment="SrTcW2 (PBE-GGA, optimized geometry)" e_form_kj_per_mol_fu=460 pbc="T T T"
Sr 2.8612 0.0057 1.3542
Tc -1.5440 2.4088 1.3542
W 0.0000 0.0000 0.0000
W 1.3172 2.4145 0.0000